Entry from OQMD via LeMat-Bulk: YTaGaNi after structural relaxation (PBE).

Properties
theoretical density	9.12	g cm⁻³
E	-6.433	eV per atom
symmetry	F-43m, No. 216

Unit cell a=4.680 b=4.680 c=4.680 alpha=60.00 beta=60.00 gamma=60.00
Atoms (fractional coordinates):
Y (0.500, 0.500, 0.500)
Ni (0.750, 0.750, 0.750)
Ga (0.000, 0.000, 0.000)
Ta (0.250, 0.250, 0.250)

Entry from OQMD via LeMat-Bulk: TaZnGaNi after structural relaxation (PBE).

Properties
theoretical density	10.76	g cm⁻³
E	-5.362	eV per atom
symmetry	F-43m, No. 216

Unit cell a=4.341 b=4.341 c=4.341 alpha=60.00 beta=60.00 gamma=60.00
Atoms (fractional coordinates):
Zn (0.500, 0.500, 0.500)
Ta (0.250, 0.250, 0.250)
Ga (0.000, 0.000, 0.000)
Ni (0.750, 0.750, 0.750)

Entry from OQMD via LeMat-Bulk: ZrTaGaNi after structural relaxation (PBE).

Properties
theoretical density	9.83	g cm⁻³
E	-7.078	eV per atom
symmetry	F-43m, No. 216

Unit cell a=4.575 b=4.575 c=4.575 alpha=60.00 beta=60.00 gamma=60.00
Atoms (fractional coordinates):
Ni (0.750, 0.750, 0.750)
Zr (0.500, 0.500, 0.500)
Ga (0.000, 0.000, 0.000)
Ta (0.250, 0.250, 0.250)

Entry from OQMD via LeMat-Bulk: Tb3Ga2Ni6 after structural relaxation (PBE).

Properties
theoretical density	9.13	g cm⁻³
E	-5.400	eV per atom
symmetry	Im-3m, No. 229

Unit cell a=7.706 b=7.706 c=7.706 alpha=109.47 beta=109.47 gamma=109.47
Atoms (fractional coordinates):
Tb (0.710, 0.000, 0.710)
Ni (0.663, 0.000, 0.337)
Ni (0.337, 0.337, 0.675)
Ni (0.663, 0.325, 0.663)
Ga (0.000, 0.500, 0.000)
Ga (0.000, 0.000, 0.500)
Ni (0.663, 0.337, 0.000)
Ga (0.500, 0.500, 0.500)
Tb (0.710, 0.710, 0.000)
Ni (0.000, 0.337, 0.663)
Tb (0.000, 0.710, 0.710)
Ni (0.675, 0.337, 0.337)
Tb (0.290, 0.290, 0.000)
Tb (0.290, 0.000, 0.290)
Ni (0.663, 0.663, 0.325)
Tb (0.000, 0.290, 0.290)
Ni (0.337, 0.663, 0.000)
Ni (0.337, 0.000, 0.663)
Ni (0.337, 0.675, 0.337)
Ni (0.325, 0.663, 0.663)
Ni (0.000, 0.663, 0.337)
Ga (0.500, 0.000, 0.000)